Here is a relaxed SnWI2O crystal from the Alexandria database. Energies are from PBE+U.

The theoretical density comes out at 6.413 g/cm³. The total energy is -4.10 eV/atom. Its offset from the most stable computed form is 0.000 kcal/mol of atoms. The crystal system is tetragonal.

Cell: 6.1771 6.1771 3.8838 Å, 90.00 90.00 90.00°
With the nearest neighbours (Å) after each atom.
Space group P4/mmm (No. 123)
Asymmetric unit:
1 Sn 0.0000 0.0000 0.0000 x1  8 I 3.65, 2 Sn 3.88
2 W 0.5000 0.5000 0.5000 x1  2 O 1.94
3 I 0.0000 0.5000 0.5000 x2  2 W 3.09
4 O 0.5000 0.5000 0.0000 x1  2 W 1.94